<a>
Here is CsK2Tl after structural relaxation from Alexandria. Energies are from GGA-PBE.

Structure (CIF):
```
data_CsK2Tl
_cell_length_a 4.4135
_cell_length_b 4.4135
_cell_length_c 15.9355
_cell_angle_alpha 82.04
_cell_angle_beta 82.04
_cell_angle_gamma 60.00
_space_group_name_H-M_alt 'P 1'
_space_group_IT_number 1
loop_
_space_group_symop_operation_xyz
'x,y,z'
loop_
_atom_site_label
_atom_site_type_symbol
_atom_site_fract_x
_atom_site_fract_y
_atom_site_fract_z
_atom_site_occupancy
Tl1 Tl 0.0000 0.0000 0.0000 1
K1 K 0.0753 0.0753 0.7741 1
K2 K 0.9247 0.9247 0.2259 1
Cs1 Cs 0.5000 0.5000 0.5000 1
```

The density of states at the Fermi level is 4.2 states/eV/cell. Its total magnetization is 0.00 μB/cell. Its space-group type is R-3m, No. 166. The value obtained for the density is 2.60 g cm⁻³. The volume is 265.4 Å³ per cell.

---

<b>
Here is CsK2Tl after structural relaxation from Alexandria. Energies are from GGA-PBE.

Structure (CIF):
```
data_CsK2Tl
_cell_length_a 6.7131
_cell_length_b 6.7131
_cell_length_c 6.7131
_cell_angle_alpha 60.00
_cell_angle_beta 60.00
_cell_angle_gamma 60.00
_space_group_name_H-M_alt 'P 1'
_space_group_IT_number 1
loop_
_space_group_symop_operation_xyz
'x,y,z'
loop_
_atom_site_label
_atom_site_type_symbol
_atom_site_fract_x
_atom_site_fract_y
_atom_site_fract_z
_atom_site_occupancy
Tl1 Tl 0.5000 0.5000 0.5000 1
K1 K 0.7500 0.7500 0.7500 1
K2 K 0.2500 0.2500 0.2500 1
Cs1 Cs 0.0000 0.0000 0.0000 1
```

The density of states at the Fermi level is 4.7 states/eV/cell. Its total magnetization is 1.31 μB/cell. Its space-group type is Fm-3m, No. 225. The value obtained for the density is 3.23 g cm⁻³. The volume is 213.9 Å³ per cell.

---

Least stable = <a>

---

<a>
Here is CsK3V after structural relaxation from Alexandria. Energies are from GGA-PBE.

Structure (CIF):
```
data_CsK3V
_cell_length_a 6.9620
_cell_length_b 6.9620
_cell_length_c 6.9620
_cell_angle_alpha 90.00
_cell_angle_beta 90.00
_cell_angle_gamma 90.00
_space_group_name_H-M_alt 'P 1'
_space_group_IT_number 1
loop_
_space_group_symop_operation_xyz
'x,y,z'
loop_
_atom_site_label
_atom_site_type_symbol
_atom_site_fract_x
_atom_site_fract_y
_atom_site_fract_z
_atom_site_occupancy
Cs1 Cs 0.5000 0.5000 0.5000 1
K1 K 0.0000 0.0000 0.5000 1
K2 K 0.0000 0.5000 0.0000 1
K3 K 0.5000 0.0000 0.0000 1
V1 V 0.0000 0.0000 0.0000 1
```

The density of states at the Fermi level is 6.6 states/eV/cell. Its total magnetization is 5.39 μB/cell. Its space-group type is Pm-3m, No. 221. The value obtained for the density is 1.48 g cm⁻³. The volume is 337.4 Å³ per cell.

---

<b>
Here is CsK3V after structural relaxation from Alexandria. Energies are from GGA-PBE.

Structure (CIF):
```
data_CsK3V
_cell_length_a 7.5206
_cell_length_b 7.5206
_cell_length_c 7.5206
_cell_angle_alpha 90.00
_cell_angle_beta 90.00
_cell_angle_gamma 90.00
_space_group_name_H-M_alt 'P 1'
_space_group_IT_number 1
loop_
_space_group_symop_operation_xyz
'x,y,z'
loop_
_atom_site_label
_atom_site_type_symbol
_atom_site_fract_x
_atom_site_fract_y
_atom_site_fract_z
_atom_site_occupancy
V1 V 0.5000 0.5000 0.5000 1
K1 K 0.0000 0.5000 0.0000 1
K2 K 0.5000 0.0000 0.0000 1
K3 K 0.0000 0.0000 0.5000 1
Cs1 Cs 0.0000 0.0000 0.0000 1
```

The density of states at the Fermi level is 10.8 states/eV/cell. Its total magnetization is 4.59 μB/cell. Its space-group type is Pm-3m, No. 221. The value obtained for the density is 1.18 g cm⁻³. The volume is 425.4 Å³ per cell.

---

Least stable = <b>

---

<a>
Here is Cs3KW after structural relaxation from Alexandria. Energies are from GGA-PBE.

Structure (CIF):
```
data_Cs3KW
_cell_length_a 7.5280
_cell_length_b 7.5280
_cell_length_c 7.5280
_cell_angle_alpha 90.00
_cell_angle_beta 90.00
_cell_angle_gamma 90.00
_space_group_name_H-M_alt 'P 1'
_space_group_IT_number 1
loop_
_space_group_symop_operation_xyz
'x,y,z'
loop_
_atom_site_label
_atom_site_type_symbol
_atom_site_fract_x
_atom_site_fract_y
_atom_site_fract_z
_atom_site_occupancy
Cs1 Cs 0.0000 0.5000 0.0000 1
Cs2 Cs 0.5000 0.0000 0.0000 1
Cs3 Cs 0.0000 0.0000 0.5000 1
W1 W 0.5000 0.5000 0.5000 1
K1 K 0.0000 0.0000 0.0000 1
```

The density of states at the Fermi level is 5.3 states/eV/cell. Its total magnetization is 5.12 μB/cell. Its space-group type is Pm-3m, No. 221. The value obtained for the density is 2.42 g cm⁻³. The volume is 426.6 Å³ per cell.

---

<b>
Here is Cs3KW after structural relaxation from Alexandria. Energies are from GGA-PBE.

Structure (CIF):
```
data_Cs3KW
_cell_length_a 7.5854
_cell_length_b 7.5854
_cell_length_c 7.5854
_cell_angle_alpha 90.00
_cell_angle_beta 90.00
_cell_angle_gamma 90.00
_space_group_name_H-M_alt 'P 1'
_space_group_IT_number 1
loop_
_space_group_symop_operation_xyz
'x,y,z'
loop_
_atom_site_label
_atom_site_type_symbol
_atom_site_fract_x
_atom_site_fract_y
_atom_site_fract_z
_atom_site_occupancy
Cs1 Cs 0.5000 0.0000 0.0000 1
Cs2 Cs 0.0000 0.5000 0.0000 1
Cs3 Cs 0.0000 0.0000 0.5000 1
W1 W 0.0000 0.0000 0.0000 1
K1 K 0.5000 0.5000 0.5000 1
```

The density of states at the Fermi level is 2.1 states/eV/cell. Its total magnetization is 6.00 μB/cell. Its space-group type is Pm-3m, No. 221. The value obtained for the density is 2.37 g cm⁻³. The volume is 436.4 Å³ per cell.

---

Least stable = <a>

---

<a>
Here is CsK3W after structural relaxation from Alexandria. Energies are from GGA-PBE.

Structure (CIF):
```
data_CsK3W
_cell_length_a 7.0433
_cell_length_b 7.0433
_cell_length_c 7.0433
_cell_angle_alpha 90.00
_cell_angle_beta 90.00
_cell_angle_gamma 90.00
_space_group_name_H-M_alt 'P 1'
_space_group_IT_number 1
loop_
_space_group_symop_operation_xyz
'x,y,z'
loop_
_atom_site_label
_atom_site_type_symbol
_atom_site_fract_x
_atom_site_fract_y
_atom_site_fract_z
_atom_site_occupancy
K1 K 0.0000 0.0000 0.5000 1
K2 K 0.5000 0.0000 0.0000 1
K3 K 0.0000 0.5000 0.0000 1
W1 W 0.0000 0.0000 0.0000 1
Cs1 Cs 0.5000 0.5000 0.5000 1
```

The density of states at the Fermi level is 3.7 states/eV/cell. Its total magnetization is 5.85 μB/cell. Its space-group type is Pm-3m, No. 221. The value obtained for the density is 2.06 g cm⁻³. The volume is 349.4 Å³ per cell.

---

<b>
Here is CsK3W after structural relaxation from Alexandria. Energies are from GGA-PBE.

Structure (CIF):
```
data_CsK3W
_cell_length_a 7.5582
_cell_length_b 7.5582
_cell_length_c 7.5582
_cell_angle_alpha 90.00
_cell_angle_beta 90.00
_cell_angle_gamma 90.00
_space_group_name_H-M_alt 'P 1'
_space_group_IT_number 1
loop_
_space_group_symop_operation_xyz
'x,y,z'
loop_
_atom_site_label
_atom_site_type_symbol
_atom_site_fract_x
_atom_site_fract_y
_atom_site_fract_z
_atom_site_occupancy
K1 K 0.0000 0.0000 0.5000 1
K2 K 0.0000 0.5000 0.0000 1
K3 K 0.5000 0.0000 0.0000 1
W1 W 0.5000 0.5000 0.5000 1
Cs1 Cs 0.0000 0.0000 0.0000 1
```

The density of states at the Fermi level is 5.3 states/eV/cell. Its total magnetization is 5.80 μB/cell. Its space-group type is Pm-3m, No. 221. The value obtained for the density is 1.67 g cm⁻³. The volume is 431.8 Å³ per cell.

---

Least stable = <b>

---

<a>
Here is Cs2KZn after structural relaxation from Alexandria. Energies are from GGA-PBE.

Structure (CIF):
```
data_Cs2KZn
_cell_length_a 5.0572
_cell_length_b 5.0572
_cell_length_c 16.2425
_cell_angle_alpha 81.04
_cell_angle_beta 81.04
_cell_angle_gamma 60.00
_space_group_name_H-M_alt 'P 1'
_space_group_IT_number 1
loop_
_space_group_symop_operation_xyz
'x,y,z'
loop_
_atom_site_label
_atom_site_type_symbol
_atom_site_fract_x
_atom_site_fract_y
_atom_site_fract_z
_atom_site_occupancy
Cs1 Cs 0.0814 0.0814 0.7557 1
Cs2 Cs 0.9186 0.9186 0.2443 1
K1 K 0.5000 0.5000 0.5000 1
Zn1 Zn 0.0000 0.0000 0.0000 1
```

The density of states at the Fermi level is 5.3 states/eV/cell. Its total magnetization is 0.00 μB/cell. Its space-group type is R-3m, No. 166. The value obtained for the density is 1.74 g cm⁻³. The volume is 353.9 Å³ per cell.

---

<b>
Here is Cs2KZn after structural relaxation from Alexandria. Energies are from GGA-PBE.

Structure (CIF):
```
data_Cs2KZn
_cell_length_a 12.7557
_cell_length_b 12.7557
_cell_length_c 9.7625
_cell_angle_alpha 49.21
_cell_angle_beta 49.21
_cell_angle_gamma 90.00
_space_group_name_H-M_alt 'P 1'
_space_group_IT_number 1
loop_
_space_group_symop_operation_xyz
'x,y,z'
loop_
_atom_site_label
_atom_site_type_symbol
_atom_site_fract_x
_atom_site_fract_y
_atom_site_fract_z
_atom_site_occupancy
Cs1 Cs 0.8750 0.9855 0.7500 1
Cs2 Cs 0.7355 0.1250 0.2500 1
Cs3 Cs 0.0145 0.6250 0.2500 1
Cs4 Cs 0.3750 0.2645 0.7500 1
K1 K 0.5000 0.5000 0.0000 1
K2 K 0.2500 0.7500 0.5000 1
Zn1 Zn 0.0000 0.0000 0.0000 1
Zn2 Zn 0.7500 0.2500 0.5000 1
```

The density of states at the Fermi level is 9.6 states/eV/cell. Its total magnetization is 0.00 μB/cell. Its space-group type is I-42d, No. 122. The value obtained for the density is 2.02 g cm⁻³. The volume is 607.8 Å³ per cell.

---

<c>
Here is Cs2KZn after structural relaxation from Alexandria. Energies are from GGA-PBE.

Structure (CIF):
```
data_Cs2KZn
_cell_length_a 5.1994
_cell_length_b 5.1994
_cell_length_c 13.0900
_cell_angle_alpha 78.54
_cell_angle_beta 78.54
_cell_angle_gamma 60.00
_space_group_name_H-M_alt 'P 1'
_space_group_IT_number 1
loop_
_space_group_symop_operation_xyz
'x,y,z'
loop_
_atom_site_label
_atom_site_type_symbol
_atom_site_fract_x
_atom_site_fract_y
_atom_site_fract_z
_atom_site_occupancy
Cs1 Cs 0.2728 0.2728 0.1817 1
Cs2 Cs 0.0606 0.0606 0.8182 1
K1 K 0.5002 0.5002 0.4995 1
Zn1 Zn 0.6665 0.6665 0.0006 1
```

The density of states at the Fermi level is 3.6 states/eV/cell. Its total magnetization is 0.00 μB/cell. Its space-group type is R3m, No. 160. The value obtained for the density is 2.06 g cm⁻³. The volume is 298.3 Å³ per cell.

---

<d>
Here is Cs2KZn after structural relaxation from Alexandria. Energies are from GGA-PBE.

Structure (CIF):
```
data_Cs2KZn
_cell_length_a 7.3441
_cell_length_b 7.3441
_cell_length_c 7.3441
_cell_angle_alpha 60.00
_cell_angle_beta 60.00
_cell_angle_gamma 60.00
_space_group_name_H-M_alt 'P 1'
_space_group_IT_number 1
loop_
_space_group_symop_operation_xyz
'x,y,z'
loop_
_atom_site_label
_atom_site_type_symbol
_atom_site_fract_x
_atom_site_fract_y
_atom_site_fract_z
_atom_site_occupancy
Cs1 Cs 0.7500 0.7500 0.7500 1
Cs2 Cs 0.2500 0.2500 0.2500 1
K1 K 0.0000 0.0000 0.0000 1
Zn1 Zn 0.5000 0.5000 0.5000 1
```

The density of states at the Fermi level is 3.2 states/eV/cell. Its total magnetization is 0.00 μB/cell. Its space-group type is Fm-3m, No. 225. The value obtained for the density is 2.20 g cm⁻³. The volume is 280.1 Å³ per cell.

---

Least stable = <a>

---

<a>
Here is Cs3KZn after structural relaxation from Alexandria. Energies are from GGA-PBE.

Structure (CIF):
```
data_Cs3KZn
_cell_length_a 8.6607
_cell_length_b 8.6607
_cell_length_c 8.6607
_cell_angle_alpha 90.00
_cell_angle_beta 90.00
_cell_angle_gamma 90.00
_space_group_name_H-M_alt 'P 1'
_space_group_IT_number 1
loop_
_space_group_symop_operation_xyz
'x,y,z'
loop_
_atom_site_label
_atom_site_type_symbol
_atom_site_fract_x
_atom_site_fract_y
_atom_site_fract_z
_atom_site_occupancy
Cs1 Cs 0.5000 0.0000 0.0000 1
Cs2 Cs 0.0000 0.0000 0.5000 1
Cs3 Cs 0.0000 0.5000 0.0000 1
K1 K 0.0000 0.0000 0.0000 1
Zn1 Zn 0.5000 0.5000 0.5000 1
```

The density of states at the Fermi level is 5.8 states/eV/cell. Its total magnetization is 0.00 μB/cell. Its space-group type is Pm-3m, No. 221. The value obtained for the density is 1.29 g cm⁻³. The volume is 649.6 Å³ per cell.

---

<b>
Here is Cs3KZn after structural relaxation from Alexandria. Energies are from GGA-PBE.

Structure (CIF):
```
data_Cs3KZn
_cell_length_a 7.5137
_cell_length_b 7.5137
_cell_length_c 7.5137
_cell_angle_alpha 90.00
_cell_angle_beta 90.00
_cell_angle_gamma 90.00
_space_group_name_H-M_alt 'P 1'
_space_group_IT_number 1
loop_
_space_group_symop_operation_xyz
'x,y,z'
loop_
_atom_site_label
_atom_site_type_symbol
_atom_site_fract_x
_atom_site_fract_y
_atom_site_fract_z
_atom_site_occupancy
Cs1 Cs 0.0000 0.0000 0.5000 1
Cs2 Cs 0.5000 0.0000 0.0000 1
Cs3 Cs 0.0000 0.5000 0.0000 1
K1 K 0.5000 0.5000 0.5000 1
Zn1 Zn 0.0000 0.0000 0.0000 1
```

The density of states at the Fermi level is 6.0 states/eV/cell. Its total magnetization is 0.00 μB/cell. Its space-group type is Pm-3m, No. 221. The value obtained for the density is 1.97 g cm⁻³. The volume is 424.2 Å³ per cell.

---

Least stable = <a>